Entry 1:
Crystalline AgIO4 at its relaxed geometry, computed with GGA-PBE.

```
AgIO4
1.0
5.749 1.837 -1.589
-0.085 5.229 -1.254
-0.377 0.044 6.380
I O Ag
2 8 2
direct
0.727 0.876 0.248 I
0.273 0.124 0.752 I
0.756 0.556 0.045 O
0.244 0.444 0.955 O
0.067 0.760 0.358 O
0.651 0.006 0.889 O
0.355 0.303 0.578 O
0.349 0.994 0.111 O
0.645 0.697 0.422 O
0.933 0.240 0.642 O
0.769 0.626 0.747 Ag
0.231 0.374 0.253 Ag
```

Results
- calculated total energy (eV/atom) = -4.09
- formation energy (no corrections) (meV/atom) = -52.4
- volume (Å³ per atom) = 15.91
- energy above the most stable polymorph in this dataset (eV/atom) = 0.016

=====

Entry 2:
Crystalline BaSiMo2 at its relaxed geometry, computed with GGA-PBE.

```
BaSiMo2
1.0
-2.285 3.164 -0.878
-2.587 -1.363 1.823
0.989 2.533 6.556
Mo Si Ba
2 1 1
direct
0.500 0.463 0.198 Mo
0.000 0.981 0.163 Mo
0.000 0.346 0.434 Si
0.500 0.710 0.705 Ba
```

Results
- calculated total energy (eV/atom) = -6.99
- formation energy (no corrections) (meV/atom) = 266.8
- volume (Å³ per atom) = 23.73

=====

Entry 3:
Crystalline ScCrNiGe at its relaxed geometry, computed with GGA-PBE.

```
ScCrNiGe
1.0
3.822 0.000 0.000
0.000 3.184 0.000
0.000 0.000 10.252
Sc Ni Cr Ge
2 2 2 2
direct
0.000 0.000 0.861 Sc
0.000 0.500 0.361 Sc
0.500 0.500 0.945 Ni
0.500 0.000 0.445 Ni
0.500 0.000 0.174 Cr
0.500 0.500 0.674 Cr
0.000 0.500 0.094 Ge
0.000 0.000 0.594 Ge
```

Results
- DFT formation energy (eV/atom) = -0.252
- calculated total energy (eV/atom) = -6.84
- volume (Å³ per atom) = 15.60
- energy above the most stable polymorph in this dataset (eV/atom) = 0.016

=====

Entry 4:
Crystalline PaSb2Os at its relaxed geometry, computed with GGA-PBE.

```
PaSb2Os
1.0
-0.595 -0.287 3.092
1.654 -2.055 1.744
7.441 6.666 3.668
Pa Os Sb
1 1 2
direct
0.500 0.500 0.500 Pa
0.000 0.000 0.000 Os
0.081 0.081 0.756 Sb
0.919 0.919 0.244 Sb
```

Results
- calculated total energy (eV/atom) = -6.74
- formation energy (no corrections) (meV/atom) = 500.7
- volume (Å³ per atom) = 22.70

=====

Entry 5:
Crystalline CsPb8Au2 at its relaxed geometry, computed with GGA-PBE.

```
CsPb8Au2
1.0
-6.525 0.766 -1.695
-1.854 -3.198 5.689
-0.231 8.772 4.856
Pb Au Cs
8 2 1
direct
0.248 0.248 0.825 Pb
0.752 0.752 0.175 Pb
0.752 0.752 0.825 Pb
0.248 0.752 0.175 Pb
0.248 0.248 0.175 Pb
0.752 0.248 0.825 Pb
0.752 0.248 0.175 Pb
0.248 0.752 0.825 Pb
0.500 0.000 0.000 Au
0.000 0.500 0.000 Au
0.500 0.500 0.500 Cs
```

Results
- DFT formation energy (eV/atom) = 0.034
- calculated total energy (eV/atom) = -3.34
- volume (Å³ per atom) = 41.97
- energy above the most stable polymorph in this dataset (eV/atom) = 0.030

=====

Entry 6:
Crystalline Si2IO2 at its relaxed geometry, computed with GGA-PBE.

```
Si2IO2
1.0
8.754 0.000 0.000
0.000 8.754 0.000
0.000 0.000 2.689
Si O I
4 4 2
direct
0.096 0.404 0.000 Si
0.904 0.596 0.000 Si
0.596 0.096 0.000 Si
0.404 0.904 0.000 Si
0.091 0.591 0.500 O
0.409 0.091 0.500 O
0.909 0.409 0.500 O
0.591 0.909 0.500 O
0.500 0.500 0.000 I
0.000 0.000 0.000 I
```

Results
- calculated total energy (eV/atom) = -4.70
- formation energy (no corrections) (meV/atom) = -236.3
- volume (Å³ per atom) = 20.61
- energy above the most stable polymorph in this dataset (eV/atom) = 0.583

=====

Entry 7:
Crystalline Tl5CdO3 at its relaxed geometry, computed with GGA-PBE.

```
Tl5CdO3
1.0
7.512 -0.179 2.577
1.078 7.436 2.577
0.088 0.074 8.351
Tl O Cd
10 6 2
direct
0.365 0.020 0.345 Tl
0.563 0.563 0.653 Tl
0.691 0.309 0.000 Tl
0.635 0.980 0.655 Tl
0.437 0.437 0.347 Tl
0.020 0.365 0.345 Tl
0.980 0.635 0.655 Tl
0.262 0.262 0.894 Tl
0.738 0.738 0.106 Tl
0.309 0.691 0.000 Tl
0.663 0.663 0.877 O
0.233 0.233 0.525 O
0.767 0.767 0.475 O
0.000 0.000 0.500 O
0.000 0.000 0.000 O
0.337 0.337 0.123 O
0.049 0.049 0.727 Cd
0.951 0.951 0.273 Cd
```

Results
- calculated total energy (eV/atom) = -3.51
- formation energy (no corrections) (meV/atom) = -438.9
- volume (Å³ per atom) = 25.84

=====

Entry 8:
Crystalline UTa2CoC4 at its relaxed geometry, computed with GGA-PBE.

```
UTa2CoC4
1.0
-2.867 -0.576 1.277
3.064 -4.659 0.788
3.427 3.848 9.428
C Co Ta U
8 2 4 2
direct
0.000 0.000 0.000 C
0.728 0.457 0.623 C
0.443 0.887 0.750 C
0.272 0.543 0.377 C
0.557 0.113 0.250 C
0.000 0.000 0.500 C
0.272 0.543 0.123 C
0.728 0.457 0.877 C
0.845 0.691 0.750 Co
0.155 0.309 0.250 Co
0.631 0.262 0.450 Ta
0.369 0.738 0.950 Ta
0.369 0.738 0.550 Ta
0.631 0.262 0.050 Ta
0.894 0.788 0.250 U
0.106 0.212 0.750 U
```

Results
- DFT formation energy (eV/atom) = -0.330
- calculated total energy (eV/atom) = -10.20
- volume (Å³ per atom) = 11.57

=====

no.,ρ (g cm⁻³)
1,5.20
2,6.25
3,6.08
4,12.16
5,7.86
6,3.47
7,8.44
8,12.68